DFT (PBE-GGA) results for crystalline HgTe2PtW at its relaxed geometry.

a = 5.159 Å, b = 5.159 Å, c = 5.326 Å
α = 90.00°, β = 90.00°, γ = 90.00°
Space group P4/mmm (No. 123)
Symmetry-distinct sites (fractional):
Hg  0.000  0.000  0.000 (multiplicity 1)
Te  0.000  0.500  0.500 (multiplicity 2)
Pt  0.500  0.500  0.000 (multiplicity 1)
W  0.000  0.000  0.500 (multiplicity 1)

- Formation energy from raw total energies: 1072 meV per atom
- Total magnetization: 0.0 μB per cell
- Mass density: 9.78 g cm⁻³


DFT (PBE-GGA) results for crystalline Y2HgTePt at its relaxed geometry.

a = 5.425 Å, b = 5.425 Å, c = 5.323 Å
α = 90.00°, β = 90.00°, γ = 90.00°
Space group P4/mmm (No. 123)
Symmetry-distinct sites (fractional):
Y  0.000  0.500  0.000 (multiplicity 2)
Hg  0.000  0.000  0.500 (multiplicity 1)
Te  0.500  0.500  0.500 (multiplicity 1)
Pt  0.500  0.500  0.000 (multiplicity 1)

- Formation energy from raw total energies: -370 meV per atom
- Total magnetization: 0.0 μB per cell
- Mass density: 7.43 g cm⁻³


Question: The highest formation energy from raw total energies belongs to which entry?
Answer: HgTe2PtW


What did the first record say?
DFT (PBE-GGA) results for crystalline HgTe2PtW at its relaxed geometry.

a = 5.159 Å, b = 5.159 Å, c = 5.326 Å
α = 90.00°, β = 90.00°, γ = 90.00°
Space group P4/mmm (No. 123)
Symmetry-distinct sites (fractional):
Hg  0.000  0.000  0.000 (multiplicity 1)
Te  0.000  0.500  0.500 (multiplicity 2)
Pt  0.500  0.500  0.000 (multiplicity 1)
W  0.000  0.000  0.500 (multiplicity 1)

- Formation energy from raw total energies: 1072 meV per atom
- Total magnetization: 0.0 μB per cell
- Mass density: 9.78 g cm⁻³